Below is a relaxed structure of Na2MnGe4Pd3, with properties calculated at the PBE-GGA level.

Output
energy relative to the elements: -0.27 eV/atom
space-group type: P-4m2 (115)
crystal system: tetragonal
DOS(E_F): 0.589 states/eV per atom
spin magnetization: 2.4 μB per formula unit

```
Na2MnGe4Pd3
1.0
-1.7912 -0.1493 3.7937
3.7938 -0.2341 1.7820
0.3762 10.6373 0.5964
Mn Pd Ge Na
1 3 4 2
direct
0.5000 0.5000 0.5000 Mn
0.0000 0.5000 0.1377 Pd
0.0000 0.0000 0.5000 Pd
0.5000 0.0000 0.8623 Pd
0.0000 0.5000 0.3736 Ge
0.5000 0.5000 0.0000 Ge
0.0000 0.0000 0.0000 Ge
0.5000 0.0000 0.6264 Ge
0.5000 0.0000 0.2566 Na
0.0000 0.5000 0.7434 Na
```

***

Below is a relaxed structure of Na2MnGe4Pt3, with properties calculated at the PBE-GGA level.

Output
energy relative to the elements: -0.37 eV/atom
space-group type: P-4m2 (115)
crystal system: tetragonal
DOS(E_F): 0.616 states/eV per atom
spin magnetization: 2.1 μB per formula unit

```
Na2MnGe4Pt3
1.0
-2.2238 0.5313 3.5328
-3.5536 0.0993 -2.2518
-0.9237 -10.4860 0.9955
Ge Mn Na Pt
4 1 2 3
direct
0.5000 0.0000 0.6299 Ge
0.0000 0.0000 0.0000 Ge
0.5000 0.5000 0.0000 Ge
0.0000 0.5000 0.3701 Ge
0.5000 0.5000 0.5000 Mn
0.0000 0.5000 0.7441 Na
0.5000 0.0000 0.2559 Na
0.5000 0.0000 0.8671 Pt
0.0000 0.0000 0.5000 Pt
0.0000 0.5000 0.1329 Pt
```

***

Below is a relaxed structure of Na2MnGe3Pt4, with properties calculated at the PBE-GGA level.

Output
energy relative to the elements: -0.44 eV/atom
space-group type: P-4m2 (115)
crystal system: tetragonal
DOS(E_F): 0.470 states/eV per atom
spin magnetization: 4.1 μB per formula unit

```
Na2MnGe3Pt4
1.0
4.0825 0.0000 0.0000
0.0000 4.0825 0.0000
0.0000 0.0000 11.0836
Pt Na Ge Mn
4 2 3 1
direct
0.0000 0.0000 0.0000 Pt
0.5000 0.5000 0.0000 Pt
0.0000 0.5000 0.3584 Pt
0.5000 0.0000 0.6416 Pt
0.0000 0.5000 0.7493 Na
0.5000 0.0000 0.2507 Na
0.0000 0.5000 0.1378 Ge
0.5000 0.0000 0.8622 Ge
0.0000 0.0000 0.5000 Ge
0.5000 0.5000 0.5000 Mn
```

***

Below is a relaxed structure of NaSc2MnGe, with properties calculated at the PBE-GGA level.

Output
energy relative to the elements: 0.44 eV/atom
space-group type: P4/mmm (123)
crystal system: tetragonal
DOS(E_F): 1.240 states/eV per atom
spin magnetization: 3.9 μB per formula unit

```
NaSc2MnGe
1.0
5.1393 0.0000 0.0000
0.0000 5.2241 0.0000
0.0000 0.0000 5.1393
Ge Sc Mn Na
1 2 1 1
direct
0.0000 0.0000 0.0000 Ge
0.0000 0.0000 0.5000 Sc
0.5000 0.0000 0.0000 Sc
0.5000 0.5000 0.5000 Mn
0.0000 0.5000 0.0000 Na
```

***

Below is a relaxed structure of NaMnGe2Se6, with properties calculated at the PBE-GGA level.

Output
formation energy (no corrections): -0.3394 eV per atom
space-group type: C2/c (15)
crystal system: monoclinic
DOS(E_F): 0.281 states/eV per atom
spin magnetization: 4.0 μB per formula unit

```
NaMnGe2Se6
1.0
-6.8182 0.9218 0.8868
-3.8151 -7.3333 -4.1641
-1.7822 -4.1001 8.1047
Ge Se Na Mn
4 12 2 2
direct
0.1937 0.3733 0.2226 Ge
0.8063 0.6267 0.7774 Ge
0.6937 0.2226 0.3733 Ge
0.3063 0.7774 0.6267 Ge
0.1746 0.9590 0.8282 Se
0.9691 0.3023 0.4410 Se
0.3254 0.1718 0.0410 Se
0.4325 0.8866 0.3951 Se
0.6746 0.8282 0.9590 Se
0.5675 0.1134 0.6049 Se
0.5309 0.5590 0.6977 Se
0.9325 0.3951 0.8866 Se
0.0675 0.6049 0.1134 Se
0.8254 0.0410 0.1718 Se
0.0309 0.6977 0.5590 Se
0.4691 0.4410 0.3023 Se
0.2500 0.8602 0.1398 Na
0.7500 0.1398 0.8602 Na
0.7500 0.7920 0.2080 Mn
0.2500 0.2080 0.7920 Mn
```

***

Below is a relaxed structure of Na2MnGeSe4, with properties calculated at the PBE-GGA level.

Output
formation energy (no corrections): -0.6752 eV per atom
space-group type: C2 (5)
crystal system: monoclinic
spin magnetization: 5.0 μB per formula unit

```
Na2MnGeSe4
1.0
6.7128 0.0064 -0.0045
0.0048 6.7136 -0.0040
-3.3566 -3.3582 4.9896
Se Ge Na Mn
4 1 2 1
direct
0.6735 0.6321 0.7297 Se
0.3734 0.7979 0.2129 Se
0.8395 0.4151 0.2129 Se
0.0562 0.0977 0.7298 Se
0.7358 0.7358 0.4716 Ge
0.4865 0.9864 0.9729 Na
0.2363 0.2363 0.4726 Na
0.9858 0.4858 0.9717 Mn
```

***

Below is a relaxed structure of MnNbGe, with properties calculated at the PBE-GGA level.

Output
energy relative to the elements: -0.33 eV/atom
space-group type: P-62m (189)
crystal system: hexagonal
DOS(E_F): 0.967 states/eV per atom
spin magnetization: 2.3 μB per formula unit

```
MnNbGe
1.0
3.2888 -5.6964 0.0000
3.2888 5.6964 0.0000
0.0000 0.0000 3.6429
Mn Ge Nb
3 3 3
direct
0.2501 0.2501 0.0000 Mn
0.0000 0.7499 0.0000 Mn
0.7499 0.0000 0.0000 Mn
0.0000 0.0000 0.5000 Ge
0.6667 0.3333 0.0000 Ge
0.3333 0.6667 0.0000 Ge
0.0000 0.4156 0.5000 Nb
0.5844 0.5844 0.5000 Nb
0.4156 0.0000 0.5000 Nb
```

***

Below is a relaxed structure of Mn4NbGe, with properties calculated at the PBE-GGA level.

Output
energy relative to the elements: -0.03 eV/atom
space-group type: F-43m (216)
crystal system: cubic
DOS(E_F): 1.012 states/eV per atom
spin magnetization: 3.7 μB per formula unit

```
Mn4NbGe
1.0
4.7725 0.0000 0.0000
2.3862 4.1331 0.0000
2.3862 1.3777 3.8967
Mn Ge Nb
4 1 1
direct
0.6260 0.6260 0.1221 Mn
0.6260 0.1221 0.6260 Mn
0.1221 0.6260 0.6260 Mn
0.6260 0.6260 0.6260 Mn
0.0000 0.0000 0.0000 Ge
0.2500 0.2500 0.2500 Nb
```